(1)
Below is a relaxed CrSbW2 crystal, with properties calculated at the GGA-PBEsol level.

abc: 4.0065 4.0065 7.8673
angles: 90.00 90.00 90.00
Last column: nearest neighbours and their distance in Å.
Space group I-4m2 (No. 119)
Symmetry-distinct sites (fractional):
Cr 0.0000 0.0000 0.0000 (multiplicity 2)  8 W 2.81-2.83, 4 Sb 2.81
Sb 0.0000 0.5000 0.2500 (multiplicity 2)  4 Cr 2.81, 8 W 2.81-2.83
W 0.0000 0.0000 0.5000 (multiplicity 2)  4 W 2.81, 4 Sb 2.81, 4 Cr 2.83
W 0.0000 0.5000 0.7500 (multiplicity 2)  4 Cr 2.81, 4 W 2.81, 4 Sb 2.83

Values from the calculation:
M_tot = 0.37 μB per atom
Raw total energy = -80.486 eV/cell
Fermi-level density of states = 8.54 states/eV/cell
Formation energy (no corrections) = 12.5 kcal/mol of atoms



(2)
Below is a relaxed CrSbW2 crystal, with properties calculated at the GGA-PBEsol level.

abc: 2.9836 2.9836 7.1342
angles: 90.00 90.00 90.00
Last column: nearest neighbours and their distance in Å.
Space group P4/mmm (No. 123)
Symmetry-distinct sites (fractional):
Cr 0.0000 0.0000 0.0000 (multiplicity 1)  8 W 2.60
Sb 0.0000 0.0000 0.5000 (multiplicity 1)  8 W 2.95, 4 Sb 2.98
W 0.5000 0.5000 0.2119 (multiplicity 2)  4 Cr 2.60

Values from the calculation:
M_tot = 0.00 μB per atom
Raw total energy = -40.295 eV/cell
Fermi-level density of states = 3.43 states/eV/cell
Formation energy (no corrections) = 12.2 kcal/mol of atoms



(3)
Below is a relaxed CrSbW2 crystal, with properties calculated at the GGA-PBEsol level.

abc: 3.2167 4.2797 8.9561
angles: 90.00 90.00 90.00
Last column: nearest neighbours and their distance in Å.
Space group Immm (No. 71)
Symmetry-distinct sites (fractional):
Cr 0.0000 0.0000 0.0000 (multiplicity 2)  4 Sb 2.68, 4 W 2.69
Sb 0.0000 0.0000 0.5000 (multiplicity 2)  4 Cr 2.68, 4 W 2.82
W 0.0000 0.5000 0.2587 (multiplicity 4)  4 W 2.68, 2 Cr 2.69, 2 Sb 2.82

Values from the calculation:
M_tot = 0.00 μB per atom
Raw total energy = -81.896 eV/cell
Fermi-level density of states = 4.91 states/eV/cell
Formation energy (no corrections) = 8.5 kcal/mol of atoms



Please write out number 1 again, unchanged.
Below is a relaxed CrSbW2 crystal, with properties calculated at the GGA-PBEsol level.

abc: 4.0065 4.0065 7.8673
angles: 90.00 90.00 90.00
Last column: nearest neighbours and their distance in Å.
Space group I-4m2 (No. 119)
Symmetry-distinct sites (fractional):
Cr 0.0000 0.0000 0.0000 (multiplicity 2)  8 W 2.81-2.83, 4 Sb 2.81
Sb 0.0000 0.5000 0.2500 (multiplicity 2)  4 Cr 2.81, 8 W 2.81-2.83
W 0.0000 0.0000 0.5000 (multiplicity 2)  4 W 2.81, 4 Sb 2.81, 4 Cr 2.83
W 0.0000 0.5000 0.7500 (multiplicity 2)  4 Cr 2.81, 4 W 2.81, 4 Sb 2.83

Values from the calculation:
M_tot = 0.37 μB per atom
Raw total energy = -80.486 eV/cell
Fermi-level density of states = 8.54 states/eV/cell
Formation energy (no corrections) = 12.5 kcal/mol of atoms



Question: What is the formula in the first record?
Answer: CrSbW2



Question: formation energy (no corrections) of number 1 (CrSbW2)?
Answer: 12.5 kcal/mol of atoms